Record 1
Here is a relaxed structure of Dy4ErTmS8 from Alexandria. Energies are from PBE.

Cell: 8.0095 8.0095 8.0095 Å, 60.07 60.07 60.07°
Positions (direct):
Dy1 0.0000 0.0000 0.0000
Dy2 0.3756 0.3756 0.8750
Dy3 0.3756 0.8750 0.3756
Dy4 0.8750 0.3756 0.3756
Er1 0.7508 0.7508 0.7508
Tm1 0.3757 0.3757 0.3757
S1 0.1326 0.1326 0.1326
S2 0.1358 0.1358 0.6010
S3 0.1358 0.6010 0.1358
S4 0.1469 0.6162 0.6162
S5 0.6010 0.1358 0.1358
S6 0.6162 0.1469 0.6162
S7 0.6162 0.6162 0.1469
S8 0.6192 0.6192 0.6192

Properties
Size of the total moment = 0.00 μB per formula unit
Uncorrected formation energy = -1.929 eV per atom
V = 363.9 Å³ per cell
Space group = R3m
Fermi-level density of states = 0.583 states/eV/atom
ρ = 5.7 g/cm³
Total DFT energy (no corrections) = -6.248 eV per atom


Record 2
Here is a relaxed structure of Dy2ErTmS6 from Alexandria. Energies are from PBE.

Cell: 7.3102 7.3102 7.3102 Å, 56.02 56.02 56.02°
Positions (direct):
Dy1 0.0000 0.0000 0.0000
Dy2 0.4997 0.4997 0.4997
Er1 0.2004 0.2004 0.2004
Tm1 0.6999 0.6999 0.6999
S1 0.0944 0.4067 0.8030
S2 0.3037 0.9047 0.5962
S3 0.4067 0.8030 0.0944
S4 0.5962 0.3037 0.9047
S5 0.8030 0.0944 0.4067
S6 0.9047 0.5962 0.3037

Properties
Size of the total moment = 0.00 μB per formula unit
Uncorrected formation energy = -2.063 eV per atom
V = 250.8 Å³ per cell
Space group = R3
Fermi-level density of states = 0.000 states/eV/atom
ρ = 5.7 g/cm³
Total DFT energy (no corrections) = -6.363 eV per atom


Record 3
Here is a relaxed structure of Dy4ErTm3S8 from Alexandria. Energies are from PBE.

Cell: 7.7655 7.7655 7.7655 Å, 59.80 59.80 59.80°
Positions (direct):
Dy1 0.0000 0.0000 0.0000
Dy2 0.0000 0.5000 0.5000
Dy3 0.5000 0.0000 0.5000
Dy4 0.5000 0.5000 0.0000
Er1 0.5000 0.5000 0.5000
Tm1 0.0000 0.0000 0.5000
Tm2 0.0000 0.5000 0.0000
Tm3 0.5000 0.0000 0.0000
S1 0.2470 0.7486 0.7486
S2 0.2478 0.2478 0.2478
S3 0.2514 0.2514 0.7530
S4 0.2514 0.7530 0.2514
S5 0.7486 0.2470 0.7486
S6 0.7486 0.7486 0.2470
S7 0.7522 0.7522 0.7522
S8 0.7530 0.2514 0.2514

Properties
Size of the total moment = 0.00 μB per formula unit
Uncorrected formation energy = -1.961 eV per atom
V = 329.6 Å³ per cell
Space group = R-3m
Fermi-level density of states = 0.544 states/eV/atom
ρ = 8.0 g/cm³
Total DFT energy (no corrections) = -6.299 eV per atom


Record 4
Here is a relaxed structure of DyErTm2S4 from Alexandria. Energies are from PBE.

Cell: 6.7103 3.8276 6.7147 Å, 90.00 109.06 90.00°
Positions (direct):
Dy1 0.0000 0.0000 0.0000
Er1 0.5000 0.5000 0.0000
Tm1 0.0000 0.5000 0.5000
Tm2 0.5000 0.0000 0.5000
S1 0.2505 0.0000 0.7464
S2 0.2534 0.5000 0.2549
S3 0.7466 0.5000 0.7451
S4 0.7495 0.0000 0.2536

Properties
Size of the total moment = 0.00 μB per formula unit
Uncorrected formation energy = -1.949 eV per atom
V = 163.0 Å³ per cell
Space group = P2/m
Fermi-level density of states = 0.610 states/eV/atom
ρ = 8.1 g/cm³
Total DFT energy (no corrections) = -6.277 eV per atom


Record 5
Here is a relaxed structure of Dy3ErTm2S6 from Alexandria. Energies are from PBE.

Cell: 6.7138 6.7138 6.7245 Å, 99.54 99.54 120.23°
Positions (direct):
Dy1 0.0000 0.0000 0.0000
Dy2 0.3340 0.6660 0.0000
Dy3 0.6660 0.3340 0.0000
Er1 0.5000 0.5000 0.5000
Tm1 0.1665 0.8335 0.5000
Tm2 0.8335 0.1665 0.5000
S1 0.0838 0.4185 0.2553
S2 0.2467 0.2467 0.7443
S3 0.4185 0.0838 0.2553
S4 0.5815 0.9162 0.7447
S5 0.7533 0.7533 0.2557
S6 0.9162 0.5815 0.7447

Properties
Size of the total moment = 0.00 μB per formula unit
Uncorrected formation energy = -1.970 eV per atom
V = 247.0 Å³ per cell
Space group = C2/m
Fermi-level density of states = 0.406 states/eV/atom
ρ = 8.0 g/cm³
Total DFT energy (no corrections) = -6.309 eV per atom


Record 6
Here is a relaxed structure of DyEr2TmS6 from Alexandria. Energies are from PBE.

Cell: 7.2978 7.2978 7.2978 Å, 55.97 55.97 55.97°
Positions (direct):
Dy1 0.0000 0.0000 0.0000
Er1 0.2988 0.2988 0.2988
Er2 0.7998 0.7998 0.7998
Tm1 0.4984 0.4984 0.4984
S1 0.0976 0.6971 0.4029
S2 0.2027 0.5960 0.8974
S3 0.4029 0.0976 0.6971
S4 0.5960 0.8974 0.2027
S5 0.6971 0.4029 0.0976
S6 0.8974 0.2027 0.5960

Properties
Size of the total moment = 0.00 μB per formula unit
Uncorrected formation energy = -2.063 eV per atom
V = 249.2 Å³ per cell
Space group = R3
Fermi-level density of states = 0.000 states/eV/atom
ρ = 5.7 g/cm³
Total DFT energy (no corrections) = -6.359 eV per atom